1.
Compound: ScCrReMo
Source: Alexandria
Functional: GGA-PBE
Structure: relaxed

```
ScCrReMo
1.0
4.457 0.000 0.000
2.228 3.860 0.000
2.228 1.287 3.639
Sc Mo Re Cr
1 1 1 1
Direct
0.000 0.000 0.000 Sc
0.500 0.500 0.500 Mo
0.750 0.750 0.750 Re
0.250 0.250 0.250 Cr
```

The value obtained for the density of states at the Fermi level is 3.31 states/eV/cell. The formation energy is 0.06 eV/atom.


2.
Compound: CrReSiMo
Source: Alexandria
Functional: GGA-PBE
Structure: relaxed

```
CrReSiMo
1.0
4.255 0.000 0.000
2.127 3.685 0.000
2.127 1.228 3.474
Si Mo Re Cr
1 1 1 1
Direct
0.250 0.250 0.250 Si
0.000 0.000 0.000 Mo
0.500 0.500 0.500 Re
0.750 0.750 0.750 Cr
```

For the energy relative to the elements, uncorrected, the calculation gives -0.086 eV/atom. The value obtained for the density of states at the Fermi level is 2.56 states/eV/cell.


3.
Compound: TaCrReMo
Source: Alexandria
Functional: GGA-PBE
Structure: relaxed

```
TaCrReMo
1.0
-0.701 3.201 2.960
-4.008 1.815 0.382
-2.455 -0.803 3.582
Mo Cr Ta Re
1 1 1 1
Direct
0.500 0.500 0.500 Mo
0.250 0.250 0.250 Cr
0.000 0.000 0.000 Ta
0.750 0.750 0.750 Re
```

The value obtained for the density of states at the Fermi level is 3.72 states/eV/cell. The formation energy is -0.11 eV/atom.


4.
Compound: CrReTe2Mo
Source: Alexandria
Functional: GGA-PBE
Structure: relaxed

```
CrReTe2Mo
1.0
4.881 0.000 0.000
0.000 4.367 0.000
0.000 0.000 4.881
Te Mo Cr Re
2 1 1 1
Direct
0.000 0.000 0.500 Te
0.500 0.000 0.000 Te
0.000 0.500 0.000 Mo
0.000 0.000 0.000 Cr
0.500 0.500 0.500 Re
```

For the energy relative to the elements, uncorrected, the calculation gives 1.660 eV/atom. The value obtained for the density of states at the Fermi level is 6.40 states/eV/cell.


5.
Compound: V2CrReMo
Source: Alexandria
Functional: GGA-PBE
Structure: relaxed

```
V2CrReMo
1.0
4.441 0.000 0.000
0.000 4.387 0.000
0.000 0.000 4.441
V Cr Re Mo
2 1 1 1
Direct
0.500 0.000 0.000 V
0.000 0.000 0.500 V
0.000 0.500 0.000 Cr
0.500 0.500 0.500 Re
0.000 0.000 0.000 Mo
```

The value obtained for the density of states at the Fermi level is 6.32 states/eV/cell. The formation energy is 1.70 eV/atom.


6.
Compound: VCrReMo
Source: Alexandria
Functional: GGA-PBE
Structure: relaxed

```
VCrReMo
1.0
-0.298 -2.353 -1.206
2.314 -1.313 -0.043
-1.893 -3.579 7.449
Cr V Mo Re
1 1 1 1
Direct
0.561 0.426 0.897 Cr
0.061 0.926 0.127 V
0.561 0.426 0.385 Mo
0.061 0.926 0.654 Re
```

The polymorph energy (0 for the lowest one) comes out at 109 meV/atom. The value obtained for the density of states at the Fermi level is 2.97 states/eV/cell. The formation energy is -0.02 eV/atom.


7.
Compound: VCrReMo
Source: Alexandria
Functional: GGA-PBE
Structure: relaxed

```
VCrReMo
1.0
-1.905 2.792 -2.657
-4.168 -0.442 -0.954
-2.866 2.814 1.533
Re Mo V Cr
1 1 1 1
Direct
0.750 0.750 0.750 Re
0.000 0.000 0.000 Mo
0.500 0.500 0.500 V
0.250 0.250 0.250 Cr
```

The polymorph energy (0 for the lowest one) comes out at 0 meV/atom. The value obtained for the density of states at the Fermi level is 2.72 states/eV/cell. The formation energy is -0.13 eV/atom.


8.
Compound: CrReMoW
Source: Alexandria
Functional: GGA-PBE
Structure: relaxed

```
CrReMoW
1.0
4.376 0.000 0.000
2.188 3.790 0.000
2.188 1.263 3.573
Mo Cr Re W
1 1 1 1
Direct
0.000 0.000 0.000 Mo
0.250 0.250 0.250 Cr
0.750 0.750 0.750 Re
0.500 0.500 0.500 W
```

The value obtained for the density of states at the Fermi level is 3.32 states/eV/cell. The formation energy is 0.04 eV/atom.


9.
Compound: ZnCrReMo
Source: Alexandria
Functional: GGA-PBE
Structure: relaxed

```
ZnCrReMo
1.0
4.354 0.000 0.000
2.177 3.770 0.000
2.177 1.257 3.555
Re Mo Cr Zn
1 1 1 1
Direct
0.000 0.000 0.000 Re
0.250 0.250 0.250 Mo
0.500 0.500 0.500 Cr
0.750 0.750 0.750 Zn
```

The value obtained for the density of states at the Fermi level is 2.10 states/eV/cell. The formation energy is 0.19 eV/atom.


10.
Compound: CrMoRh3
Source: Alexandria
Functional: GGA-PBE
Structure: relaxed

```
CrMoRh3
1.0
4.636 0.000 0.000
0.000 4.636 0.000
0.000 0.000 4.636
Rh Cr Mo
3 1 1
Direct
0.000 0.000 0.500 Rh
0.000 0.500 0.000 Rh
0.500 0.000 0.000 Rh
0.500 0.500 0.500 Cr
0.000 0.000 0.000 Mo
```

The polymorph energy (0 for the lowest one) comes out at 1523 meV/atom. The value obtained for the density of states at the Fermi level is 7.87 states/eV/cell. The formation energy is 1.58 eV/atom.


11.
Compound: CrMoRh
Source: Alexandria
Functional: GGA-PBE
Structure: relaxed

```
CrMoRh
1.0
4.772 0.018 -0.003
2.507 4.061 0.003
-3.256 -2.723 2.181
Mo Cr Rh
1 1 1
Direct
0.337 0.337 0.000 Mo
0.004 0.004 0.000 Cr
0.659 0.659 0.000 Rh
```

The polymorph energy (0 for the lowest one) comes out at 85 meV/atom. The value obtained for the density of states at the Fermi level is 3.46 states/eV/cell. The formation energy is 0.11 eV/atom.


12.
Compound: CrMoRh
Source: Alexandria
Functional: GGA-PBE
Structure: relaxed

```
CrMoRh
1.0
-1.122 -3.834 -1.519
3.357 0.361 2.621
-1.597 -0.363 2.095
Mo Cr Rh
1 1 1
Direct
0.333 0.667 0.187 Mo
0.000 0.000 0.145 Cr
0.667 0.333 0.667 Rh
```

The polymorph energy (0 for the lowest one) comes out at 107 meV/atom. The value obtained for the density of states at the Fermi level is 2.49 states/eV/cell. The formation energy is 0.13 eV/atom.


13.
Compound: CrMo2Rh2
Source: Alexandria
Functional: GGA-PBE
Structure: relaxed

```
CrMo2Rh2
1.0
7.476 0.000 0.000
0.000 7.476 0.000
0.000 0.000 2.816
Rh Mo Cr
4 4 2
Direct
0.626 0.126 0.000 Rh
0.374 0.874 0.000 Rh
0.874 0.626 0.000 Rh
0.126 0.374 0.000 Rh
0.173 0.673 0.500 Mo
0.327 0.173 0.500 Mo
0.673 0.827 0.500 Mo
0.827 0.327 0.500 Mo
0.500 0.500 0.000 Cr
0.000 0.000 0.000 Cr
```

The value obtained for the density of states at the Fermi level is 10.36 states/eV/cell. The formation energy is 0.22 eV/atom.


14.
Compound: CrMo3Rh6
Source: Alexandria
Functional: GGA-PBE
Structure: relaxed

```
CrMo3Rh6
1.0
4.375 0.000 0.000
0.000 6.692 -2.842
0.000 -0.408 9.945
Rh Cr Mo
12 2 6
Direct
0.750 0.743 0.532 Rh
0.250 0.167 0.166 Rh
0.750 0.330 0.331 Rh
0.250 0.869 0.275 Rh
0.750 0.833 0.834 Rh
0.250 0.670 0.669 Rh
0.750 0.935 0.139 Rh
0.250 0.065 0.861 Rh
0.250 0.467 0.069 Rh
0.750 0.533 0.931 Rh
0.250 0.257 0.468 Rh
0.750 0.131 0.725 Rh
0.250 0.972 0.565 Cr
0.750 0.028 0.435 Cr
0.750 0.642 0.239 Mo
0.750 0.430 0.628 Mo
0.250 0.570 0.372 Mo
0.250 0.358 0.761 Mo
0.750 0.233 0.031 Mo
0.250 0.767 0.969 Mo
```

The value obtained for the density of states at the Fermi level is 17.67 states/eV/cell. The formation energy is -0.19 eV/atom.


15.
Compound: CrMoRh
Source: Alexandria
Functional: GGA-PBE
Structure: relaxed

```
CrMoRh
1.0
-3.334 -2.770 2.547
0.212 -1.609 4.758
0.559 3.998 -2.997
Rh Cr Mo
1 1 1
Direct
0.663 0.663 0.000 Rh
0.988 0.988 0.000 Cr
0.349 0.349 0.000 Mo
```

The polymorph energy (0 for the lowest one) comes out at 146 meV/atom. The value obtained for the density of states at the Fermi level is 4.53 states/eV/cell. The formation energy is 0.17 eV/atom.


16.
Compound: CrMoRh
Source: Alexandria
Functional: GGA-PBE
Structure: relaxed

```
CrMoRh
1.0
-1.267 -4.497 -1.878
-1.991 -3.514 3.007
-11.728 1.322 -2.004
Mo Cr Rh
6 6 6
Direct
0.962 0.962 0.113 Mo
0.736 0.736 0.791 Mo
0.264 0.264 0.209 Mo
0.038 0.038 0.887 Mo
0.818 0.818 0.547 Mo
0.182 0.182 0.453 Mo
0.500 0.500 0.000 Cr
0.000 0.500 0.000 Cr
0.614 0.614 0.157 Cr
0.500 0.500 0.500 Cr
0.500 0.000 0.000 Cr
0.386 0.386 0.843 Cr
0.217 0.726 0.331 Rh
0.726 0.217 0.331 Rh
0.726 0.726 0.331 Rh
0.274 0.274 0.669 Rh
0.783 0.274 0.669 Rh
0.274 0.783 0.669 Rh
```

The polymorph energy (0 for the lowest one) comes out at 58 meV/atom. The value obtained for the density of states at the Fermi level is 19.81 states/eV/cell. The formation energy is 0.08 eV/atom.


17.
Compound: CrMoRh
Source: Alexandria
Functional: GGA-PBE
Structure: relaxed

```
CrMoRh
1.0
-5.503 -2.617 -1.223
-4.220 -2.879 -3.540
0.455 -2.565 0.544
Mo Rh Cr
1 1 1
Direct
0.334 0.334 0.666 Mo
0.656 0.656 0.344 Rh
0.010 0.010 0.990 Cr
```

The polymorph energy (0 for the lowest one) comes out at 0 meV/atom. The value obtained for the density of states at the Fermi level is 1.81 states/eV/cell. The formation energy is 0.02 eV/atom.


18.
Compound: CrMoRh4
Source: Alexandria
Functional: GGA-PBE
Structure: relaxed

```
CrMoRh4
1.0
-4.638 -0.006 -2.043
-3.437 3.406 1.507
-1.399 3.740 -3.121
Rh Mo Cr
4 1 1
Direct
0.375 0.874 0.375 Rh
0.375 0.375 0.874 Rh
0.375 0.375 0.375 Rh
0.874 0.375 0.375 Rh
0.000 0.000 0.000 Mo
0.750 0.750 0.750 Cr
```

The polymorph energy (0 for the lowest one) comes out at 428 meV/atom. The value obtained for the density of states at the Fermi level is 7.87 states/eV/cell. The formation energy is 0.27 eV/atom.


19.
Compound: CrMoRh4
Source: Alexandria
Functional: GGA-PBE
Structure: relaxed

```
CrMoRh4
1.0
-1.826 -5.423 3.906
5.079 -0.756 0.406
0.100 2.745 3.858
Mo Rh Cr
2 8 2
Direct
0.000 0.250 0.421 Mo
0.000 0.750 0.579 Mo
0.663 0.416 0.590 Rh
0.337 0.084 0.590 Rh
0.337 0.584 0.410 Rh
0.175 0.917 0.080 Rh
0.175 0.417 0.920 Rh
0.825 0.583 0.080 Rh
0.663 0.916 0.410 Rh
0.825 0.083 0.920 Rh
0.500 0.250 0.074 Cr
0.500 0.750 0.926 Cr
```

The polymorph energy (0 for the lowest one) comes out at 43 meV/atom. The value obtained for the density of states at the Fermi level is 15.94 states/eV/cell. The formation energy is -0.12 eV/atom.


20.
Compound: CrMoRh3
Source: Alexandria
Functional: GGA-PBE
Structure: relaxed

```
CrMoRh3
1.0
4.427 0.000 0.000
0.000 4.427 0.000
0.000 0.000 4.427
Rh Cr Mo
3 1 1
Direct
0.500 0.000 0.000 Rh
0.000 0.000 0.500 Rh
0.000 0.500 0.000 Rh
0.000 0.000 0.000 Cr
0.500 0.500 0.500 Mo
```

The polymorph energy (0 for the lowest one) comes out at 1040 meV/atom. The value obtained for the density of states at the Fermi level is 5.04 states/eV/cell. The formation energy is 1.10 eV/atom.


21.
Compound: CrMoRh4
Source: Alexandria
Functional: GGA-PBE
Structure: relaxed

```
CrMoRh4
1.0
-2.096 -1.451 1.004
0.130 -2.588 -3.472
5.592 -3.528 2.839
Rh Cr Mo
4 1 1
Direct
0.725 0.503 0.696 Rh
0.951 0.003 0.147 Rh
0.275 0.003 0.796 Rh
0.061 0.503 0.368 Rh
0.615 0.003 0.476 Cr
0.391 0.503 0.028 Mo
```

The polymorph energy (0 for the lowest one) comes out at 0 meV/atom. The value obtained for the density of states at the Fermi level is 5.63 states/eV/cell. The formation energy is -0.16 eV/atom.


22.
Compound: CrMoRh3
Source: Alexandria
Functional: GGA-PBE
Structure: relaxed

```
CrMoRh3
1.0
3.990 -0.001 0.000
0.002 6.366 0.000
0.000 0.000 5.765
Rh Mo Cr
6 2 2
Direct
0.250 0.551 0.270 Rh
0.250 0.949 0.270 Rh
0.750 0.051 0.730 Rh
0.250 0.250 0.964 Rh
0.750 0.750 0.036 Rh
0.750 0.449 0.730 Rh
0.750 0.250 0.282 Mo
0.250 0.750 0.718 Mo
0.750 0.750 0.448 Cr
0.250 0.250 0.552 Cr
```

The polymorph energy (0 for the lowest one) comes out at 67 meV/atom. The value obtained for the density of states at the Fermi level is 9.76 states/eV/cell. The formation energy is 0.12 eV/atom.


23.
Compound: Cr5MoRh6
Source: Alexandria
Functional: GGA-PBE
Structure: relaxed

```
Cr5MoRh6
1.0
4.595 0.003 -0.214
-0.003 5.382 -0.001
0.169 0.001 6.542
Cr Rh Mo
5 6 1
Direct
0.327 0.500 0.673 Cr
0.332 0.000 0.664 Cr
0.668 0.000 0.336 Cr
0.000 0.500 0.000 Cr
0.673 0.500 0.327 Cr
0.824 0.252 0.661 Rh
0.500 0.746 0.000 Rh
0.176 0.748 0.339 Rh
0.176 0.252 0.339 Rh
0.500 0.254 0.000 Rh
0.824 0.748 0.661 Rh
0.000 0.000 0.000 Mo
```

The value obtained for the density of states at the Fermi level is 11.43 states/eV/cell. The formation energy is -0.07 eV/atom.


24.
Compound: CrMoRh3
Source: Alexandria
Functional: GGA-PBE
Structure: relaxed

```
CrMoRh3
1.0
4.384 0.000 0.000
0.000 5.341 0.000
0.000 0.000 12.280
Rh Cr Mo
12 4 4
Direct
0.250 0.501 0.867 Rh
0.750 0.501 0.367 Rh
0.750 0.750 0.553 Rh
0.250 0.499 0.633 Rh
0.250 0.001 0.633 Rh
0.750 0.250 0.947 Rh
0.250 0.250 0.447 Rh
0.750 0.001 0.133 Rh
0.250 0.999 0.867 Rh
0.750 0.999 0.367 Rh
0.250 0.750 0.053 Rh
0.750 0.499 0.133 Rh
0.250 0.250 0.056 Cr
0.250 0.750 0.444 Cr
0.750 0.750 0.944 Cr
0.750 0.250 0.556 Cr
0.750 0.000 0.750 Mo
0.750 0.500 0.750 Mo
0.250 0.000 0.250 Mo
0.250 0.500 0.250 Mo
```

The polymorph energy (0 for the lowest one) comes out at 0 meV/atom. The value obtained for the density of states at the Fermi level is 23.52 states/eV/cell. The formation energy is 0.06 eV/atom.


25.
Compound: Cr2MoRh2
Source: Alexandria
Functional: GGA-PBE
Structure: relaxed

```
Cr2MoRh2
1.0
-5.090 -2.176 4.686
-0.025 -6.568 -3.077
1.883 -0.793 1.677
Rh Mo Cr
4 2 4
Direct
0.128 0.372 0.000 Rh
0.628 0.128 0.000 Rh
0.372 0.872 0.000 Rh
0.872 0.628 0.000 Rh
0.500 0.500 0.000 Mo
0.000 0.000 0.000 Mo
0.331 0.169 0.500 Cr
0.669 0.831 0.500 Cr
0.831 0.331 0.500 Cr
0.169 0.669 0.500 Cr
```

The polymorph energy (0 for the lowest one) comes out at 62 meV/atom. The value obtained for the density of states at the Fermi level is 11.90 states/eV/cell. The formation energy is 0.13 eV/atom.


| no. | DFT total energy (eV/atom) |
| --- | --- |
| 1 | -9.75 |
| 2 | -9.67 |
| 3 | -11.30 |
| 4 | -6.18 |
| 5 | -8.52 |
| 6 | -10.52 |
| 7 | -10.63 |
| 8 | -11.42 |
| 9 | -8.35 |
| 10 | -6.92 |
| 11 | -9.16 |
| 12 | -9.14 |
| 13 | -8.98 |
| 14 | -8.82 |
| 15 | -9.10 |
| 16 | -9.19 |
| 17 | -9.25 |
| 18 | -8.04 |
| 19 | -8.43 |
| 20 | -7.41 |
| 21 | -8.47 |
| 22 | -8.38 |
| 23 | -8.66 |
| 24 | -8.45 |
| 25 | -8.83 |